ZrTl2Te | meta-GGA SCAN | single point on PBEsol structure

Cell lengths 3.6024, 5.0019, 5.5109 Å; angles 90.00, 90.00, 90.00 degrees
Closest atoms and distances in Å follow each position.
Sites, in units of the cell vectors:
Zr: 0.0000 0.0000 0.0000  4 Te 3.08, 4 Tl 3.29
Tl: 0.0000 0.5000 0.5000  4 Tl 3.08, 4 Te 3.29
Tl: 0.5000 0.0000 0.5000  4 Tl 3.08, 4 Zr 3.29
Te: 0.5000 0.5000 0.0000  4 Zr 3.08, 4 Tl 3.29

The uncorrected formation energy comes out at -67 meV/atom. As for the total moment: 0.0 Bohr magnetons per cell. Its space group is No. 47.

***

ZrTlTe2 | meta-GGA SCAN | single point on PBEsol structure

Cell lengths 3.7850, 3.7850, 7.4220 Å; angles 90.00, 90.00, 90.00 degrees
Closest atoms and distances in Å follow each position.
Sites, in units of the cell vectors:
Zr: 0.0000 0.0000 0.0000  5 Te 3.04-3.15, 4 Tl 3.22
Tl: 0.5000 0.5000 0.7590  5 Te 3.00-3.23, 4 Zr 3.22
Te: 0.0000 0.0000 0.5760  4 Tl 3.00, 1 Zr 3.15
Te: 0.5000 0.5000 0.1943  4 Zr 3.04, 1 Tl 3.23

The uncorrected formation energy comes out at -259 meV/atom. As for the total moment: 0.9 Bohr magnetons per cell. Its space group is No. 99.